Material: MgCo2O4
Method: DFT, PBE with a Hubbard U
State: optimized geometry

```
data_MgCo2O4
_chemical_formula_sum 'Mg4 Co8 O16'
_cell_length_a 5.741
_cell_length_b 5.810
_cell_length_c 8.396
_cell_angle_alpha 90.00
_cell_angle_beta 90.00
_cell_angle_gamma 90.00
_symmetry_space_group_name_H-M 'I m m a'
_symmetry_Int_Tables_number 74
_symmetry_space_group_name_Hall '-I 2b 2'
loop_
_atom_site_label
_atom_site_fract_x
_atom_site_fract_y
_atom_site_fract_z
Mg1 0.000 0.000 0.000
Co1 0.000 0.250 0.382
Co2 0.250 0.250 0.750
O1 0.000 0.021 0.752
O2 0.246 0.250 0.980
```

Output
E = -5.942 eV per atom
magnetization = 0.571 μB per atom
excess energy over the best structure of this formula in the dataset = 81 meV/atom